Entry 1:
The following is a DFT calculation (PBE-GGA) of Li2TcPd after structural relaxation.

Results
total energy: -4.492 eV per atom
space group: No. 225
crystal system: cubic
ΔE to the lowest computed polymorph: 0.283 eV/atom
calculated density: 6.663 Mg/m³

Lattice parameters (Å, degrees): 4.253 4.253 4.253 60.00 60.00 60.00
Atoms (fractional coordinates):
Li  0.250  0.250  0.250
Li  0.750  0.750  0.750
Tc  0.000  0.000  0.000
Pd  0.500  0.500  0.500


Entry 2:
The following is a DFT calculation (PBE-GGA) of LiTcPd6 after structural relaxation.

Results
total energy: -5.518 eV per atom
space group: No. 123
crystal system: tetragonal
calculated density: 10.359 Mg/m³

Lattice parameters (Å, degrees): 3.915 3.915 7.777 90.00 90.00 90.00
Atoms (fractional coordinates):
Li  0.000  0.000  0.000
Tc  0.000  0.000  0.500
Pd  0.000  0.500  0.254
Pd  0.000  0.500  0.746
Pd  0.500  0.000  0.254
Pd  0.500  0.000  0.746
Pd  0.500  0.500  0.000
Pd  0.500  0.500  0.500


Entry 3:
The following is a DFT calculation (PBE-GGA) of LiTcPd after structural relaxation.

Results
total energy: -5.659 eV per atom
space group: No. 187
crystal system: hexagonal
ΔE to the lowest computed polymorph: 0.283 eV/atom
calculated density: 7.590 Mg/m³

Lattice parameters (Å, degrees): 4.455 4.455 5.379 90.00 90.00 120.00
Atoms (fractional coordinates):
Li  0.000  0.000  0.000
Li  0.000  0.000  0.500
Tc  0.667  0.333  0.204
Tc  0.667  0.333  0.796
Pd  0.333  0.667  0.249
Pd  0.333  0.667  0.751